# 1
# Pr6GeAs5

A relaxed structure of Pr6GeAs5 (PBE-GGA, Alexandria via LeMat-Bulk).

Output
E_form (meV/atom): -1349
Magnetization (μB/f.u.): 0.00

Lattice parameters (Å, degrees): 7.474 12.941 7.450 90.00 109.51 90.00
Space group C2/m (No. 12)
Unique sites:
1 Pr 0.247 0.000 0.252 (multiplicity 4)
2 Pr 0.248 0.168 0.750 (multiplicity 8)
3 Ge 0.000 0.500 0.000 (multiplicity 2)
4 As 0.000 0.000 0.500 (multiplicity 2)
5 As 0.000 0.166 0.000 (multiplicity 4)
6 As 0.000 0.333 0.500 (multiplicity 4)

# 2
# MgOs2

A relaxed structure of MgOs2 (PBE-GGA, Alexandria via LeMat-Bulk).

Output
E_form (meV/atom): 371
Magnetization (μB/f.u.): 0.00

Lattice parameters (Å, degrees): 4.011 11.440 3.895 90.00 90.00 90.00
Space group Cmcm (No. 63)
Unique sites:
1 Mg 0.000 0.086 0.250 (multiplicity 4)
2 Os 0.000 0.243 0.750 (multiplicity 4)
3 Os 0.000 0.423 0.250 (multiplicity 4)